# 1
# GGA-PBE CeY2HoS4, relaxed
data_CeY2HoS4
_cell_length_a 6.822
_cell_length_b 3.919
_cell_length_c 6.834
_cell_angle_alpha 90.00
_cell_angle_beta 109.27
_cell_angle_gamma 90.00
_symmetry_space_group_name_H-M 'P 1 2/m 1'
_symmetry_Int_Tables_number 10
loop_
_symmetry_equiv_pos_as_xyz
'x,y,z'
'-x,-y,-z'
'-x,y,-z'
'x,-y,z'
loop_
_atom_site_label
_atom_site_fract_x
_atom_site_fract_y
_atom_site_fract_z
Ce1 0.000 0.000 0.000
Y1 0.500 0.000 0.500
Y2 0.500 0.500 0.000
Ho1 0.000 0.500 0.500
S1 0.251 0.000 0.745
S2 0.255 0.500 0.258
# Magnetic moment ... 0.087 μB per atom
# Calculated total energy ... -7.00 eV per atom

***

# 2
# GGA-PBE Sb2TeMoP, relaxed
data_Sb2TeMoP
_cell_length_a 5.061
_cell_length_b 5.061
_cell_length_c 5.210
_cell_angle_alpha 90.00
_cell_angle_beta 90.00
_cell_angle_gamma 90.00
_symmetry_space_group_name_H-M 'P 4/m m m'
_symmetry_Int_Tables_number 123
_symmetry_space_group_name_Hall '-P 4 2'
loop_
_atom_site_label
_atom_site_fract_x
_atom_site_fract_y
_atom_site_fract_z
Sb1 0.000 0.500 0.000
Te1 0.000 0.000 0.500
Mo1 0.500 0.500 0.500
P1 0.000 0.000 0.000
# Magnetic moment ... 0.559 μB per atom
# E above lowest polymorph ... 1.39 eV per formula unit

***

# 3
# GGA-PBE PmNd2Se3, relaxed
data_PmNd2Se3
_cell_length_a 4.1697
_cell_length_b 4.1697
_cell_length_c 21.2147
_cell_angle_alpha 90.00
_cell_angle_beta 90.00
_cell_angle_gamma 120.00
_symmetry_space_group_name_H-M 'P 63/m m c'
_symmetry_Int_Tables_number 194
_symmetry_space_group_name_Hall '-P 6c 2c'
loop_
_atom_site_label
_atom_site_fract_x
_atom_site_fract_y
_atom_site_fract_z
Pm1 0.0000 0.0000 0.2500
Nd1 0.3333 0.6667 0.0826
Se1 0.0000 0.0000 0.0000
Se2 0.3333 0.6667 0.6661
# Magnetic moment ... 0.000 μB per atom
# E above lowest polymorph ... 0.06 eV per formula unit

***

Which value of magnetic moment does entry 1 give? 0.087 μB per atom

***

What did the second record say?
# GGA-PBE Sb2TeMoP, relaxed
data_Sb2TeMoP
_cell_length_a 5.061
_cell_length_b 5.061
_cell_length_c 5.210
_cell_angle_alpha 90.00
_cell_angle_beta 90.00
_cell_angle_gamma 90.00
_symmetry_space_group_name_H-M 'P 4/m m m'
_symmetry_Int_Tables_number 123
_symmetry_space_group_name_Hall '-P 4 2'
loop_
_atom_site_label
_atom_site_fract_x
_atom_site_fract_y
_atom_site_fract_z
Sb1 0.000 0.500 0.000
Te1 0.000 0.000 0.500
Mo1 0.500 0.500 0.500
P1 0.000 0.000 0.000
# Magnetic moment ... 0.559 μB per atom
# E above lowest polymorph ... 1.39 eV per formula unit

***

Look up the magnetic moment of the second one. 0.559 μB per atom

***

Copy entry 1 word for word.
# GGA-PBE CeY2HoS4, relaxed
data_CeY2HoS4
_cell_length_a 6.822
_cell_length_b 3.919
_cell_length_c 6.834
_cell_angle_alpha 90.00
_cell_angle_beta 109.27
_cell_angle_gamma 90.00
_symmetry_space_group_name_H-M 'P 1 2/m 1'
_symmetry_Int_Tables_number 10
loop_
_symmetry_equiv_pos_as_xyz
'x,y,z'
'-x,-y,-z'
'-x,y,-z'
'x,-y,z'
loop_
_atom_site_label
_atom_site_fract_x
_atom_site_fract_y
_atom_site_fract_z
Ce1 0.000 0.000 0.000
Y1 0.500 0.000 0.500
Y2 0.500 0.500 0.000
Ho1 0.000 0.500 0.500
S1 0.251 0.000 0.745
S2 0.255 0.500 0.258
# Magnetic moment ... 0.087 μB per atom
# Calculated total energy ... -7.00 eV per atom